ZrTl2Hg2 (PBE-GGA, optimized geometry); DFT formation energy = 22.16 kJ per mole of atoms; space-group type = P4/mbm, No. 127; magnetization = 0.0 μB/cell
1.0
8.038 0.000 0.000
0.000 8.038 0.000
0.000 0.000 3.949
Tl Hg Zr
4 4 2
Direct
0.174 0.674 0.500
0.674 0.826 0.500
0.826 0.326 0.500
0.326 0.174 0.500
0.369 0.869 0.000
0.869 0.631 0.000
0.631 0.131 0.000
0.131 0.369 0.000
0.000 0.000 0.000
0.500 0.500 0.000

LaTcHgO6 (PBE-GGA, optimized geometry); space-group type = P1, No. 1; formation energy without anion corrections = -1.59 eV per atom; magnetization = 0.0 μB/cell
1.0
5.835 0.145 0.147
3.043 4.977 -0.146
0.131 -0.227 4.829
La Tc Hg O
1 1 1 6
Direct
0.024 0.024 0.999
0.352 0.352 0.501
0.680 0.680 0.499
0.031 0.337 0.301
0.339 0.030 0.698
0.628 0.298 0.701
0.077 0.573 0.772
0.295 0.629 0.301
0.575 0.078 0.228

Pa2AlW (PBE-GGA, optimized geometry); DFT formation energy = 15.39 kJ per mole of atoms; space-group type = P4/mmm, No. 123; magnetization = 0.0 μB/cell
1.0
3.518 0.000 0.000
0.000 3.518 0.000
0.000 0.000 7.109
Pa Al W
2 1 1
Direct
0.000 0.000 0.736
0.000 0.000 0.264
0.500 0.500 0.000
0.500 0.500 0.500

AcSnI (PBE-GGA, optimized geometry); space-group type = I4mm, No. 107; formation energy without anion corrections = -0.58 eV per atom; magnetization = 0.0 μB/cell
1.0
4.258 0.000 0.000
0.000 4.258 0.000
-2.129 -2.129 5.818
I Ac Sn
1 1 1
Direct
0.654 0.654 0.308
0.011 0.011 0.022
0.335 0.335 0.670

SiAg2F (PBE-GGA, optimized geometry); space-group type = I-42d, No. 122; formation energy without anion corrections = -0.22 eV per atom; magnetization = 0.0 μB/cell
1.0
6.657 0.000 0.000
0.000 6.657 0.000
3.329 3.329 3.046
Si Ag F
2 4 2
Direct
0.000 0.000 0.000
0.750 0.250 0.500
0.612 0.125 0.250
0.138 0.625 0.250
0.375 0.388 0.750
0.875 0.862 0.750
0.500 0.500 0.000
0.250 0.750 0.500

KMgSnCl6 (PBE-GGA, optimized geometry); space-group type = P-31c, No. 163; formation energy without anion corrections = -1.45 eV per atom; magnetization = 1.3 μB/cell
1.0
-0.847 2.126 -6.357
-5.290 -2.273 3.534
-2.437 12.865 4.627
K Mg Sn Cl
2 2 2 12
Direct
0.000 0.000 0.000
0.000 0.000 0.500
0.333 0.667 0.250
0.667 0.333 0.750
0.667 0.333 0.250
0.333 0.667 0.750
0.620 0.634 0.143
0.014 0.380 0.143
0.380 0.014 0.643
0.986 0.620 0.857
0.366 0.380 0.357
0.014 0.634 0.357
0.634 0.014 0.857
0.620 0.986 0.357
0.986 0.366 0.643
0.366 0.986 0.143
0.634 0.620 0.643
0.380 0.366 0.857

RbNa2CdHg4 (PBE-GGA, optimized geometry); DFT formation energy = -17.69 kJ per mole of atoms; space-group type = R-3m, No. 166; magnetization = 0.0 μB/cell
1.0
-0.717 3.886 -3.556
-4.324 3.081 0.265
3.343 8.846 5.020
Rb Na Cd Hg
1 2 1 4
Direct
0.000 0.000 0.000
0.774 0.774 0.678
0.226 0.226 0.322
0.500 0.500 0.500
0.402 0.402 0.793
0.879 0.879 0.364
0.121 0.121 0.636
0.598 0.598 0.207

TlIr3N (PBE-GGA, optimized geometry); space-group type = Pm-3m, No. 221; formation energy without anion corrections = 0.80 eV per atom; magnetization = 0.0 μB/cell
1.0
4.201 0.000 0.000
0.000 4.201 0.000
0.000 0.000 4.201
Tl Ir N
1 3 1
Direct
0.500 0.500 0.500
0.000 0.500 0.000
0.000 0.000 0.500
0.500 0.000 0.000
0.000 0.000 0.000

La2AsO5 (PBE-GGA, optimized geometry); space-group type = I4mm, No. 107; formation energy without anion corrections = -2.40 eV per atom; magnetization = 0.0 μB/cell
1.0
-1.012 4.969 2.287
-4.079 -2.235 3.052
4.923 -2.099 -0.027
La As O
2 1 5
Direct
0.245 0.745 0.490
0.745 0.245 0.490
0.996 0.996 0.991
0.771 0.248 0.018
0.247 0.247 0.018
0.771 0.771 0.018
0.248 0.771 0.018
0.755 0.755 0.510

SrPdSe (PBE-GGA, optimized geometry); space-group type = P4/nmm, No. 129; formation energy without anion corrections = -0.74 eV per atom; magnetization = 0.0 μB/cell
1.0
-4.002 0.284 3.027
-2.649 -2.781 -3.241
1.830 -5.124 2.901
Sr Se Pd
2 2 2
Direct
0.000 0.500 0.821
0.500 0.000 0.179
0.000 0.000 0.500
0.500 0.500 0.500
0.000 0.500 0.325
0.500 0.000 0.675

VHRh2 (PBE-GGA, optimized geometry); space-group type = Cmc2_1, No. 36; magnetization = 0.0 μB/cell
1.0
2.729 0.000 0.596
0.000 4.410 0.000
-0.144 0.000 7.216
V H Rh
2 2 4
Direct
0.344 0.811 0.821
0.558 0.311 0.395
0.112 0.042 0.286
0.790 0.542 0.930
0.678 0.792 0.155
0.897 0.289 0.717
0.005 0.789 0.499
0.224 0.292 0.061

AcCePuIn (PBE-GGA, optimized geometry); DFT formation energy = 3.22 kJ per mole of atoms; space-group type = F-43m, No. 216; magnetization = 9.2 μB/cell
1.0
5.574 0.000 0.000
2.787 4.827 0.000
2.787 1.609 4.551
Ac In Ce Pu
1 1 1 1
Direct
0.500 0.500 0.500
0.250 0.250 0.250
0.750 0.750 0.750
0.000 0.000 0.000

Number 1: final energy -25.47 eV/cell. Number 2: final energy -59.66 eV/cell. Number 3: final energy -35.05 eV/cell. Number 4: final energy -11.39 eV/cell. Number 5: final energy -27.79 eV/cell. Number 6: final energy -61.73 eV/cell. Number 7: final energy -7.20 eV/cell. Number 8: final energy -33.28 eV/cell. Number 9: final energy -58.53 eV/cell. Number 10: final energy -25.13 eV/cell. Number 11: final energy -56.57 eV/cell. Number 12: final energy -26.98 eV/cell.